No. 1
# LiSm3Th2As6

An optimized crystal structure of LiSm3Th2As6 (GGA-PBE, Alexandria).

```
12
Lattice="-2.2089 -1.8436 3.1042 6.8616 -4.4274 2.2530 1.6814 8.6451 3.4454" Properties=species:S:1:pos:R:3 pbc="T T T"
Li -1.1044 -0.9218 1.5521
Sm 2.3264 -3.1355 2.6786
Sm 0.4220 3.5403 5.2884
Sm 5.9121 -1.1663 3.5142
Th 3.9379 1.3186 6.4707
Th 2.3963 1.0554 2.3319
As 6.6746 1.0723 5.3864
As 3.0769 -0.8875 4.5478
As -0.3405 1.3017 3.4163
As 1.2052 5.6784 7.1155
As 5.1290 -3.3044 1.6871
As 3.2572 3.2615 4.2548
```

## Properties
- N(E_F): 3.43 states/eV/f.u.
- Space-group type: C2/m (12)
- Energy relative to the elements: -1.278 eV per atom
- Calculated volume: 26.7 Å³ per atom

=====

No. 2
# LiSm2UAs4

An optimized crystal structure of LiSm2UAs4 (GGA-PBE, Alexandria).

```
8
Lattice="-3.8794 1.2226 -0.8377 -0.8853 -5.6402 -4.1316 -1.9723 -1.7046 6.6464" Properties=species:S:1:pos:R:3 pbc="T T T"
Li -2.3824 -2.2088 -2.4846
Sm -2.9259 -0.2410 2.9043
Sm -1.4288 -3.6724 1.2574
U 0.0000 0.0000 0.0000
As -2.6202 -1.1650 0.1401
As -4.1169 -4.9572 1.5370
As -1.7238 -2.6714 4.0845
As -1.1338 -4.6734 -1.5696
```

## Properties
- N(E_F): 5.17 states/eV/f.u.
- Space-group type: P2/m (10)
- Energy relative to the elements: -0.986 eV per atom
- Calculated volume: 24.7 Å³ per atom

=====

No. 3
# LiSm2ZrAs4

An optimized crystal structure of LiSm2ZrAs4 (GGA-PBE, Alexandria).

```
8
Lattice="-3.2335 2.4060 -0.4732 -2.9750 -2.8398 5.8901 3.8098 5.4545 1.7012" Properties=species:S:1:pos:R:3 pbc="T T T"
Li -3.1042 -0.2169 2.7084
Sm 0.2881 3.9303 0.6140
Sm 0.4174 1.3074 3.7957
Zr 0.0000 0.0000 0.0000
As -1.4552 1.7743 1.5644
As -0.9435 3.2465 5.5538
As 2.1969 3.5012 2.7901
As -1.3622 -0.8864 4.8012
```

## Properties
- N(E_F): 4.47 states/eV/f.u.
- Space-group type: P2/m (10)
- Energy relative to the elements: -1.050 eV per atom
- Calculated volume: 23.5 Å³ per atom

=====

No. 4
# LiSn2As

An optimized crystal structure of LiSn2As (GGA-PBE, Alexandria).

```
8
Lattice="-5.5191 3.9057 0.7217 -3.1271 -3.5112 -4.9120 -6.2017 -3.1161 1.4692" Properties=species:S:1:pos:R:3 pbc="T T T"
As 0.0000 0.0000 0.0000
As -8.0219 0.4934 0.0479
Sn -5.4352 1.2546 0.2102
Sn -4.1503 -2.5168 -2.6183
Sn -7.8684 -2.1609 -0.4299
Sn -12.2418 -2.0202 -2.6042
Li -4.3231 0.1972 -2.0952
Li -6.8259 -3.2150 -2.7690
```

## Properties
- N(E_F): 1.08 states/eV/f.u.
- Space-group type: I-42d (122)
- Energy relative to the elements: 0.099 eV per atom
- Calculated volume: 30.1 Å³ per atom

=====

No. 5
# Li2Sn3As3

An optimized crystal structure of Li2Sn3As3 (GGA-PBE, Alexandria).

```
16
Lattice="-1.5704 -2.1345 -3.4757 -5.0574 -1.4035 5.8950 -7.5483 10.8236 -3.2364" Properties=species:S:1:pos:R:3 pbc="T T T"
Li -10.2225 8.0980 -3.1023
Li -10.8391 3.6292 -0.0794
Li -6.6094 3.1891 1.0278
Li -3.7139 -0.7826 2.1587
Sn -7.6910 3.9805 -1.7175
Sn -6.6978 0.2389 0.1316
Sn -12.8183 5.8708 -0.5617
Sn -7.9244 7.4642 -1.0034
Sn -7.5463 -2.0952 1.9483
Sn -3.4599 3.4437 -0.5516
As -9.8430 5.6093 -1.7454
As -5.0875 -2.7616 1.2466
As -8.6583 2.1049 -0.1286
As -4.4512 1.5207 1.0773
As -8.7144 9.9078 -2.1472
As -5.5589 5.4747 -0.8504
```

## Properties
- N(E_F): 2.37 states/eV/f.u.
- Space-group type: Cm (8)
- Energy relative to the elements: -0.111 eV per atom
- Calculated volume: 28.1 Å³ per atom

=====

No. 6
# Li8SnAs2

An optimized crystal structure of Li8SnAs2 (GGA-PBE, Alexandria).

```
11
Lattice="4.1517 0.0000 -1.2635 -1.0801 6.2487 -3.5489 -0.0732 -0.1420 7.2122" Properties=species:S:1:pos:R:3 pbc="T T T"
Li 1.7896 5.3722 -1.5723
Li 0.7665 3.2933 2.5186
Li 0.4587 0.9351 1.5070
Li -0.3294 1.9055 -1.0822
Li 2.5398 5.1716 0.8927
Li 2.2319 2.8133 -0.1189
Li 1.2088 0.7345 3.9720
Li 3.3278 4.2011 3.4819
Sn 2.0758 0.0000 -0.6318
As 0.0458 4.3189 0.1504
As 2.9527 1.7878 2.2493
```

## Properties
- N(E_F): 1.02 states/eV/f.u.
- Space-group type: Immm (71)
- Energy relative to the elements: -0.554 eV per atom
- Calculated volume: 16.7 Å³ per atom

=====

No. 7
# Li2Sn2As

An optimized crystal structure of Li2Sn2As (GGA-PBE, Alexandria).

```
10
Lattice="-4.7274 4.6776 -0.9384 -4.7526 -4.7325 0.3526 -0.2834 0.6220 4.5283" Properties=species:S:1:pos:R:3 pbc="T T T"
As 0.0000 0.0000 0.0000
As -4.7400 -0.0275 -0.2929
Sn -4.0948 -2.0644 2.3430
Sn -7.2538 -0.5176 1.9328
Sn -5.6687 2.6315 1.5995
Sn -2.5096 1.0847 2.0097
Li -5.7209 -2.3856 -0.0303
Li -7.1074 0.9262 -0.5721
Li -3.7592 2.3307 -0.5554
Li -2.3726 -0.9811 -0.0137
```

## Properties
- Energy above the most stable polymorph in this dataset: 0 meV/atom
- N(E_F): 3.08 states/eV/f.u.
- Space-group type: P4/mbm (127)
- Energy relative to the elements: -0.200 eV per atom
- Calculated volume: 20.7 Å³ per atom

=====

No. 8
# Li2Sn2As3

An optimized crystal structure of Li2Sn2As3 (GGA-PBE, Alexandria).

```
7
Lattice="-3.1766 2.6946 0.9060 -4.2824 -3.4316 -4.8086 -2.4550 -6.4944 0.6788" Properties=species:S:1:pos:R:3 pbc="T T T"
Li -5.7051 -2.4244 -2.7634
Li -4.2089 -4.8069 -0.4603
Sn -8.0039 -5.2860 -2.3126
Sn -1.9101 -1.9454 -0.9111
As 0.0000 0.0000 0.0000
As -4.6124 -1.9620 -0.3075
As -5.3016 -5.2693 -2.9163
```

## Properties
- N(E_F): 1.96 states/eV/f.u.
- Space-group type: C2/m (12)
- Energy relative to the elements: -0.241 eV per atom
- Calculated volume: 23.4 Å³ per atom

=====

No. 9
# Li2SnAs2

An optimized crystal structure of Li2SnAs2 (GGA-PBE, Alexandria).

```
10
Lattice="4.5889 0.0116 1.4092 2.2956 8.4691 0.5824 0.7392 -0.0832 5.9093" Properties=species:S:1:pos:R:3 pbc="T T T"
Li 4.2005 3.8486 2.5819
Li 5.9038 7.7028 5.2297
Li 1.7199 0.6947 2.6711
Li 3.4232 4.5489 5.3190
Sn 2.1484 7.0726 1.0909
Sn 5.4753 1.3249 6.8100
As 5.4480 5.7599 6.8854
As 3.6667 1.9243 4.5519
As 2.1758 2.6376 1.0155
As 3.9570 6.4732 3.3490
```

## Properties
- Energy above the most stable polymorph in this dataset: 95 meV/atom
- N(E_F): 1.81 states/eV/f.u.
- Space-group type: P-1 (2)
- Energy relative to the elements: -0.284 eV per atom
- Calculated volume: 22.1 Å³ per atom

=====

No. 10
# Li2SnAs

An optimized crystal structure of Li2SnAs (GGA-PBE, Alexandria).

```
4
Lattice="4.3016 0.0000 0.0000 2.1508 3.7253 0.0000 2.1508 1.2418 5.1189" Properties=species:S:1:pos:R:3 pbc="T T T"
Li 2.1508 1.2418 4.3449
Li 2.1508 1.2418 0.7725
Sn 4.3016 2.4836 2.6523
As 6.4525 3.7253 5.0275
```

## Properties
- Energy above the most stable polymorph in this dataset: 81 meV/atom
- N(E_F): 1.59 states/eV/f.u.
- Space-group type: R3m (160)
- Energy relative to the elements: -0.344 eV per atom
- Calculated volume: 20.5 Å³ per atom

=====

No. 11
# Li3SnAs2

An optimized crystal structure of Li3SnAs2 (GGA-PBE, Alexandria).

```
12
Lattice="6.0902 0.0000 0.0000 0.0000 6.6335 0.0000 -3.0451 -3.3168 6.3155" Properties=species:S:1:pos:R:3 pbc="T T T"
Li 3.0451 1.6584 0.0000
Li 3.0451 4.9752 0.0000
Li 3.0451 -1.6584 3.4703
Li 0.0000 1.6584 2.8452
Li 0.0000 4.9752 2.8452
Li 3.0451 1.6584 3.4703
Sn 0.0000 3.3168 0.0000
Sn 0.0000 0.0000 0.0000
As 1.2198 0.0000 4.5249
As 4.2649 0.0000 1.7906
As -1.2198 3.3168 4.5249
As 1.8253 3.3168 1.7906
```

## Properties
- N(E_F): 3.05 states/eV/f.u.
- Space-group type: Ibam (72)
- Energy relative to the elements: -0.309 eV per atom
- Calculated volume: 21.3 Å³ per atom

=====

No. 12
# LiSn3As

An optimized crystal structure of LiSn3As (GGA-PBE, Alexandria).

```
5
Lattice="4.9877 0.0000 0.0000 0.0000 4.9877 0.0000 0.0000 0.0000 4.9877" Properties=species:S:1:pos:R:3 pbc="T T T"
As 2.4938 2.4938 2.4938
Sn 0.0000 2.4938 0.0000
Sn 0.0000 0.0000 2.4938
Sn 2.4938 0.0000 0.0000
Li 0.0000 0.0000 0.0000
```

## Properties
- Energy above the most stable polymorph in this dataset: 0 meV/atom
- N(E_F): 2.61 states/eV/f.u.
- Space-group type: Pm-3m (221)
- Energy relative to the elements: 0.303 eV per atom
- Calculated volume: 24.8 Å³ per atom